No. 1
NaAgSnCl6 | the Alexandria database | PBE | optimized geometry; formation energy without anion corrections = -1009.8 meV/atom
1.0
-5.521 2.810 2.773
4.918 -2.460 3.978
5.334 10.549 -0.069
Ag Cl Na Sn
2 12 2 2
Direct
0.000 0.000 0.000
0.000 0.000 0.500
0.036 0.670 0.871
0.964 0.330 0.129
0.964 0.635 0.371
0.670 0.036 0.371
0.330 0.365 0.871
0.365 0.330 0.371
0.670 0.635 0.129
0.635 0.964 0.871
0.365 0.036 0.129
0.635 0.670 0.629
0.036 0.365 0.629
0.330 0.964 0.629
0.333 0.667 0.250
0.667 0.333 0.750
0.667 0.333 0.250
0.333 0.667 0.750

=====

No. 2
SrLiMg | the Alexandria database | PBE | optimized geometry; ΔE_f = -0.049 eV per atom
1.0
-2.287 -3.342 5.060
4.556 -7.355 -2.799
7.365 5.176 -1.614
Li Sr Mg
4 4 4
Direct
0.500 0.500 0.000
0.000 0.500 0.500
0.500 0.000 0.500
0.000 0.000 0.000
0.250 0.377 0.250
0.750 0.123 0.250
0.750 0.623 0.750
0.250 0.877 0.750
0.000 0.250 0.750
0.500 0.250 0.750
0.500 0.750 0.250
0.000 0.750 0.250

=====

No. 3
SmErZnCd | the Alexandria database | PBE | optimized geometry; ΔE_f = -0.302 eV per atom
1.0
-2.877 -0.753 4.284
1.473 -3.531 3.543
1.785 1.556 4.646
Zn Cd Er Sm
1 1 1 1
Direct
0.250 0.250 0.250
0.750 0.750 0.750
0.500 0.500 0.500
0.000 0.000 0.000

=====

No. 4
Na2TmPuTe4 | the Alexandria database | PBE | optimized geometry; formation energy without anion corrections = -1152.4 meV/atom
1.0
-3.617 1.282 -2.245
-2.419 -7.311 -0.278
-2.869 3.425 6.577
Na Te Tm Pu
2 4 1 1
Direct
0.500 0.000 0.500
0.000 0.500 0.500
0.000 0.737 0.231
0.500 0.250 0.232
0.500 0.750 0.768
0.000 0.263 0.769
0.500 0.500 0.000
0.000 0.000 0.000